[1]
{
  "formula": "MgTlTc",
  "functional": "PBE",
  "state": "relaxed",
  "density_g_cm3": 7.87,
  "volume_a3_per_atom": 22.99,
  "m_tot_mub_per_fu": 1.7,
  "formation_enthalpy_0k_mev_per_atom": 760,
  "polymorph_energy_mev_per_atom": 280,
  "space_group": "F-43m",
  "lattice": [[0.000, 3.255, 3.255], [3.255, 0.000, 3.255], [3.255, 3.255, 0.000]],
  "species": ["Mg", "Tl", "Tc"],
  "fractional_positions": [[0.000, 0.000, 0.000], [0.500, 0.500, 0.500], [0.250, 0.250, 0.250]]
}

[2]
{
  "formula": "Rb2SrSnO4",
  "functional": "PBE",
  "state": "relaxed",
  "density_g_cm3": 4.01,
  "volume_a3_per_atom": 22.81,
  "m_tot_mub_per_fu": 0.0,
  "space_group": "I-4",
  "energy_ev_per_cell": -42.21,
  "lattice": [[-3.154, 3.154, 4.588], [3.154, -3.154, 4.588], [3.154, 3.154, -4.588]],
  "species": ["Rb", "Rb", "Sr", "Sn", "O", "O", "O", "O"],
  "fractional_positions": [[0.000, 0.000, 0.000], [0.750, 0.250, 0.500], [0.500, 0.500, 0.000], [0.250, 0.750, 0.500], [0.208, 0.650, 0.126], [0.350, 0.476, 0.558], [0.524, 0.082, 0.874], [0.918, 0.792, 0.442]]
}

[3]
{
  "formula": "CaHg3Rh",
  "functional": "PBE",
  "state": "relaxed",
  "density_g_cm3": 8.75,
  "volume_a3_per_atom": 28.28,
  "m_tot_mub_per_fu": 0.0,
  "formation_enthalpy_0k_mev_per_atom": -65,
  "polymorph_energy_mev_per_atom": 0,
  "space_group": "Pm-3m",
  "lattice": [[5.209, 0.000, 0.000], [0.000, 5.209, 0.000], [0.000, 0.000, 5.209]],
  "species": ["Ca", "Hg", "Hg", "Hg", "Rh"],
  "fractional_positions": [[0.000, 0.000, 0.000], [0.000, 0.500, 0.500], [0.500, 0.000, 0.500], [0.500, 0.500, 0.000], [0.500, 0.500, 0.500]]
}

[4]
{
  "formula": "Be2AgP",
  "functional": "PBE",
  "state": "relaxed",
  "density_g_cm3": 5.13,
  "volume_a3_per_atom": 12.69,
  "m_tot_mub_per_fu": 0.0,
  "formation_enthalpy_0k_mev_per_atom": 394,
  "space_group": "Pmmm",
  "lattice": [[3.282, 0.000, 0.000], [0.000, 3.665, 0.000], [0.000, 0.000, 4.220]],
  "species": ["Be", "Be", "Ag", "P"],
  "fractional_positions": [[0.000, 0.000, 0.000], [0.000, 0.500, 0.500], [0.500, 0.000, 0.500], [0.500, 0.500, 0.000]]
}

[5]
{
  "formula": "YGa2SiRu2",
  "functional": "PBE",
  "state": "relaxed",
  "density_g_cm3": 6.93,
  "volume_a3_per_atom": 18.31,
  "m_tot_mub_per_fu": 0.0,
  "space_group": "P4/mmm",
  "energy_ev_per_cell": -38.80,
  "lattice": [[4.427, 0.000, 0.000], [0.000, 4.427, 0.000], [0.000, 0.000, 5.604]],
  "species": ["Y", "Ga", "Ga", "Si", "Ru", "Ru"],
  "fractional_positions": [[0.000, 0.000, 0.000], [0.500, 0.500, 0.228], [0.500, 0.500, 0.772], [0.000, 0.000, 0.500], [0.000, 0.500, 0.500], [0.500, 0.000, 0.500]]
}

[6]
{
  "formula": "Rb2ScInF6",
  "functional": "PBE",
  "state": "relaxed",
  "density_g_cm3": 3.71,
  "volume_a3_per_atom": 19.89,
  "m_tot_mub_per_fu": 0.0,
  "space_group": "P-1",
  "energy_ev_per_cell": -52.84,
  "lattice": [[6.451, 0.000, 0.000], [3.038, 5.699, 0.000], [3.040, 1.824, 5.410]],
  "species": ["Rb", "Rb", "Sc", "In", "F", "F", "F", "F", "F", "F"],
  "fractional_positions": [[0.245, 0.245, 0.243], [0.755, 0.755, 0.757], [0.000, 0.000, 0.000], [0.500, 0.500, 0.500], [0.139, 0.799, 0.289], [0.204, 0.712, 0.859], [0.288, 0.141, 0.802], [0.712, 0.859, 0.198], [0.796, 0.288, 0.141], [0.861, 0.201, 0.711]]
}

[7]
{
  "formula": "LiCe2NdS5",
  "functional": "PBE",
  "state": "relaxed",
  "density_g_cm3": 4.90,
  "volume_a3_per_atom": 22.30,
  "m_tot_mub_per_fu": 1.9,
  "space_group": "Cmc2_1",
  "energy_ev_per_cell": -111.63,
  "lattice": [[2.005, -8.324, 0.000], [2.005, 8.324, 0.000], [0.000, 0.000, 12.026]],
  "species": ["Li", "Li", "Ce", "Ce", "Ce", "Ce", "Nd", "Nd", "S", "S", "S", "S", "S", "S", "S", "S", "S", "S"],
  "fractional_positions": [[0.011, 0.989, 0.500], [0.989, 0.011, 0.000], [0.378, 0.622, 0.315], [0.390, 0.610, 0.700], [0.610, 0.390, 0.200], [0.622, 0.378, 0.815], [0.304, 0.696, 0.017], [0.696, 0.304, 0.517], [0.001, 0.999, 0.302], [0.136, 0.864, 0.017], [0.191, 0.809, 0.354], [0.209, 0.791, 0.683], [0.458, 0.542, 0.091], [0.542, 0.458, 0.591], [0.791, 0.209, 0.183], [0.809, 0.191, 0.854], [0.864, 0.136, 0.517], [0.999, 0.001, 0.802]]
}

[8]
{
  "formula": "Ba2ReMo",
  "functional": "PBE",
  "state": "relaxed",
  "density_g_cm3": 9.16,
  "volume_a3_per_atom": 25.24,
  "m_tot_mub_per_fu": 0.0,
  "formation_enthalpy_0k_mev_per_atom": 1567,
  "polymorph_energy_mev_per_atom": 1065,
  "space_group": "P4/mmm",
  "lattice": [[4.241, 0.000, 0.000], [0.000, 4.241, 0.000], [0.000, 0.000, 5.613]],
  "species": ["Ba", "Ba", "Re", "Mo"],
  "fractional_positions": [[0.000, 0.500, 0.000], [0.500, 0.000, 0.000], [0.000, 0.000, 0.500], [0.500, 0.500, 0.500]]
}

[9]
{
  "formula": "Fe2WSe",
  "functional": "PBE",
  "state": "relaxed",
  "density_g_cm3": 11.66,
  "volume_a3_per_atom": 13.33,
  "m_tot_mub_per_fu": 2.3,
  "space_group": "I-4m2",
  "energy_ev_per_cell": -31.47,
  "lattice": [[-1.809, 1.809, 4.073], [1.809, -1.809, 4.073], [1.809, 1.809, -4.073]],
  "species": ["Fe", "Fe", "W", "Se"],
  "fractional_positions": [[0.000, 0.000, 0.000], [0.750, 0.250, 0.500], [0.500, 0.500, 0.000], [0.250, 0.750, 0.500]]
}

[10]
{
  "formula": "Ti2FeSi4",
  "functional": "PBE",
  "state": "relaxed",
  "density_g_cm3": 3.73,
  "volume_a3_per_atom": 16.80,
  "m_tot_mub_per_fu": 0.7,
  "space_group": "I4/mmm",
  "energy_ev_per_cell": -44.90,
  "lattice": [[-2.192, 2.192, 6.121], [2.192, -2.192, 6.121], [2.192, 2.192, -6.121]],
  "species": ["Ti", "Ti", "Fe", "Si", "Si", "Si", "Si"],
  "fractional_positions": [[0.111, 0.111, 0.000], [0.889, 0.889, 0.000], [0.500, 0.500, 0.000], [0.000, 0.500, 0.500], [0.315, 0.315, 0.000], [0.500, 0.000, 0.500], [0.685, 0.685, 0.000]]
}

[11]
{
  "formula": "Th4HgC2",
  "functional": "PBE",
  "state": "relaxed",
  "density_g_cm3": 11.11,
  "volume_a3_per_atom": 24.60,
  "m_tot_mub_per_fu": 0.0,
  "formation_enthalpy_0k_mev_per_atom": -253,
  "polymorph_energy_mev_per_atom": 0,
  "space_group": "R-3m",
  "lattice": [[1.849, 1.067, 14.548], [-1.849, 1.067, 14.548], [0.000, -2.135, 14.548]],
  "species": ["Th", "Th", "Th", "Th", "Hg", "C", "C"],
  "fractional_positions": [[0.127, 0.127, 0.127], [0.272, 0.272, 0.272], [0.728, 0.728, 0.728], [0.873, 0.873, 0.873], [0.000, 0.000, 0.000], [0.428, 0.428, 0.428], [0.572, 0.572, 0.572]]
}

[12]
{
  "formula": "LiPdRhO4",
  "functional": "PBE",
  "state": "relaxed",
  "density_g_cm3": 5.71,
  "volume_a3_per_atom": 11.63,
  "m_tot_mub_per_fu": 0.0,
  "space_group": "Imma",
  "energy_ev_per_cell": -81.64,
  "lattice": [[-3.067, 3.071, 4.323], [3.067, -3.071, 4.323], [3.067, 3.071, -4.323]],
  "species": ["Li", "Li", "Pd", "Pd", "Rh", "Rh", "O", "O", "O", "O", "O", "O", "O", "O"],
  "fractional_positions": [[0.369, 0.119, 0.250], [0.631, 0.881, 0.750], [0.000, 0.000, 0.500], [0.000, 0.500, 0.000], [0.000, 0.500, 0.500], [0.500, 0.500, 0.000], [0.212, 0.737, 0.475], [0.236, 0.263, 0.527], [0.236, 0.709, 0.973], [0.237, 0.263, 0.975], [0.763, 0.737, 0.025], [0.764, 0.291, 0.027], [0.764, 0.737, 0.473], [0.788, 0.263, 0.525]]
}